Entry from Alexandria: a relaxed Na2Dy crystal (PBE).

Values from the calculation:
Symmetry   No. 164
VASP energy   -0.15232 Ry/atom
Size of the total moment   0.0 μB/f.u.
ΔE_f   1.02 eV/f.u.
D(E_F)   3.58 states/eV per cell

Cell: 5.8459 5.8453 3.4026 Å, 90.00 89.98 60.02°
Sites, in units of the cell vectors:
Na 0.1138 0.6602 0.7348
Dy 0.7803 0.3269 0.2367
Na 0.4472 0.9935 0.7382